A plane-wave DFT calculation with meta-GGA SCAN was carried out for K2RbYNb at its PBEsol-relaxed geometry.

Values from the calculation:
- total magnetization (μB per atom) = 0.692
- D(E_F) (states/eV/cell) = 6.28
- E (eV for the cell shown) = -92.755
- crystal system = tetragonal

a b c (Å): 5.1398 7.1024 7.1024
angles (deg): 90.00 90.00 90.00
Fractional coordinates of all 5 atoms:
Y 0.0000 0.0000 0.0000
Nb 0.5000 0.0000 0.0000
K 0.0000 0.0000 0.5000
K 0.0000 0.5000 0.0000
Rb 0.5000 0.5000 0.5000

---

A plane-wave DFT calculation with meta-GGA SCAN was carried out for KRb2ZrNb at its PBEsol-relaxed geometry.

Values from the calculation:
- total magnetization (μB per atom) = 1.726
- D(E_F) (states/eV/cell) = 6.77
- E (eV for the cell shown) = -104.061
- crystal system = tetragonal

a b c (Å): 5.9303 5.9303 6.1117
angles (deg): 90.00 90.00 90.00
Fractional coordinates of all 5 atoms:
K 0.0000 0.0000 0.0000
Nb 0.0000 0.0000 0.5000
Rb 0.0000 0.5000 0.0000
Rb 0.5000 0.0000 0.0000
Zr 0.5000 0.5000 0.5000

---

A plane-wave DFT calculation with meta-GGA SCAN was carried out for K2NbRe at its PBEsol-relaxed geometry.

Values from the calculation:
- total magnetization (μB per atom) = 1.955
- D(E_F) (states/eV/cell) = 2.07
- E (eV for the cell shown) = -110.974
- crystal system = cubic

a b c (Å): 5.2448 5.2448 5.2448
angles (deg): 60.00 60.00 60.00
Fractional coordinates of all 4 atoms:
Re 0.5000 0.5000 0.5000
Nb 0.0000 0.0000 0.0000
K 0.2500 0.2500 0.2500
K 0.7500 0.7500 0.7500

---

A plane-wave DFT calculation with meta-GGA SCAN was carried out for K3NbRe at its PBEsol-relaxed geometry.

Values from the calculation:
- total magnetization (μB per atom) = 1.783
- D(E_F) (states/eV/cell) = 16.56
- E (eV for the cell shown) = -117.571
- crystal system = cubic

a b c (Å): 6.2026 6.2026 6.2026
angles (deg): 90.00 90.00 90.00
Fractional coordinates of all 5 atoms:
Re 0.0000 0.0000 0.0000
Nb 0.5000 0.5000 0.5000
K 0.0000 0.5000 0.0000
K 0.0000 0.0000 0.5000
K 0.5000 0.0000 0.0000

---

A plane-wave DFT calculation with meta-GGA SCAN was carried out for K3NbRu at its PBEsol-relaxed geometry.

Values from the calculation:
- total magnetization (μB per atom) = 1.632
- D(E_F) (states/eV/cell) = 8.86
- E (eV for the cell shown) = -83.008
- crystal system = cubic

a b c (Å): 6.3504 6.3504 6.3504
angles (deg): 90.00 90.00 90.00
Fractional coordinates of all 5 atoms:
Ru 0.5000 0.5000 0.5000
Nb 0.0000 0.0000 0.0000
K 0.0000 0.5000 0.0000
K 0.0000 0.0000 0.5000
K 0.5000 0.0000 0.0000

---

A plane-wave DFT calculation with meta-GGA SCAN was carried out for KScNb3 at its PBEsol-relaxed geometry.

Values from the calculation:
- total magnetization (μB per atom) = 0.000
- D(E_F) (states/eV/cell) = 6.24
- E (eV for the cell shown) = -112.436
- crystal system = cubic

a b c (Å): 4.9546 4.9546 4.9546
angles (deg): 90.00 90.00 90.00
Fractional coordinates of all 5 atoms:
Sc 0.0000 0.0000 0.0000
Nb 0.0000 0.5000 0.0000
Nb 0.0000 0.0000 0.5000
Nb 0.5000 0.0000 0.0000
K 0.5000 0.5000 0.5000

---

A plane-wave DFT calculation with meta-GGA SCAN was carried out for KNb2Se2 at its PBEsol-relaxed geometry.

Values from the calculation:
- total magnetization (μB per atom) = 0.000
- D(E_F) (states/eV/cell) = 0.77
- E_form (uncorrected) (eV/f.u.) = -4.58
- crystal system = tetragonal

a b c (Å): 3.9224 3.9224 7.9676
angles (deg): 104.25 104.25 90.00
Fractional coordinates of all 5 atoms:
Nb 0.2500 0.7500 0.5000
Nb 0.7500 0.2500 0.5000
K 0.0000 0.0000 0.0000
Se 0.3705 0.3705 0.7410
Se 0.6295 0.6295 0.2590

---

A plane-wave DFT calculation with meta-GGA SCAN was carried out for KNbSe2 at its PBEsol-relaxed geometry.

Values from the calculation:
- total magnetization (μB per atom) = 0.000
- E_form (uncorrected) (eV/f.u.) = -4.53
- crystal system = hexagonal

a b c (Å): 3.5712 3.5712 16.1579
angles (deg): 90.00 90.00 120.00
Fractional coordinates of all 8 atoms:
Nb 0.0000 0.0000 0.2500
Nb 0.0000 0.0000 0.7500
K 0.0000 0.0000 0.5000
K 0.0000 0.0000 0.0000
Se 0.3333 0.6667 0.3502
Se 0.3333 0.6667 0.1498
Se 0.6667 0.3333 0.8502
Se 0.6667 0.3333 0.6498